[1]
A relaxed structure of CaMg6Cu6. Source: Alexandria via LeMat-Bulk, functional PBEsol.

Properties
E = -3.027 eV per atom

The structure in POSCAR format:
```
CaMg6Cu6
1.0
5.1963 0.0000 0.0000
-2.5982 4.5001 0.0000
0.0000 0.0000 9.0724
Ca Mg Cu
1 6 6
direct
0.0000 0.0000 0.0000
0.0000 0.0000 0.3381
0.0000 0.0000 0.6619
0.3333 0.6667 0.0000
0.3333 0.6667 0.5000
0.6667 0.3333 0.0000
0.6667 0.3333 0.5000
0.0000 0.5000 0.2431
0.0000 0.5000 0.7569
0.5000 0.0000 0.2431
0.5000 0.0000 0.7569
0.5000 0.5000 0.2431
0.5000 0.5000 0.7569
```

***

[2]
A relaxed structure of GeOF2. Source: Alexandria via LeMat-Bulk, functional PBEsol.

Properties
formation energy from raw total energies = -0.739 eV per atom

The structure in POSCAR format:
```
GeOF2
1.0
-1.6519 1.6519 7.2466
1.6519 -1.6519 7.2466
1.6519 1.6519 -7.2466
Ge O F
2 2 4
direct
0.0000 0.0000 0.0000
0.7500 0.2500 0.5000
0.2500 0.7500 0.5000
0.5000 0.5000 0.0000
0.0994 0.6250 0.9744
0.3750 0.3494 0.4744
0.6506 0.1250 0.0256
0.8750 0.9006 0.5256
```

***

[3]
A relaxed structure of CdInHg2. Source: Alexandria via LeMat-Bulk, functional PBEsol.

Properties
E = -1.301 eV per atom

The structure in POSCAR format:
```
CdInHg2
1.0
1.7132 -2.6978 0.0000
1.7132 2.6978 0.0000
0.0000 0.0000 10.1652
Cd In Hg
1 1 2
direct
0.0000 0.0000 0.0000
0.5000 0.5000 0.2566
0.0000 0.0000 0.5126
0.5000 0.5000 0.7591
```

***

Magnetic moment / μB per cell: 0.000; 1.108; 0.000